DFT (PBE) results for an optimized crystal structure of Be2AsOs.

Lattice parameters (Å, degrees): 4.1030 4.1030 4.1030 60.00 60.00 60.00
With the nearest neighbours (Å) after each atom.
Atoms (fractional coordinates):
As  0.5000  0.5000  0.5000  4 Be 2.51, 4 Os 2.51
Be  0.7500  0.7500  0.7500  4 Be 2.51, 4 As 2.51
Os  0.2500  0.2500  0.2500  4 As 2.51, 4 Be 2.51
Be  0.0000  0.0000  0.0000  4 Be 2.51, 4 Os 2.51

Summary:
VASP energy in eV/atom: -5.42